DFT (PBE) results for a relaxed structure of Nb3AgBi.

The structure belongs to space group Pm-3m (No. 221); the cell edges are 4.976, 4.976 and 4.976 Å and the angles 90.00°, 90.00° and 90.00°. The inequivalent atoms are Nb at (0.000, 0.000, 0.500), Ag at (0.000, 0.000, 0.000) and Bi at (0.500, 0.500, 0.500).

As for the energy above the most stable polymorph in this dataset: 0.000 eV/atom. The energy of formation from the pure elements comes out at 7.6 eV per formula unit. The spin magnetization is 0.00 Bohr magnetons per cell. The density is 8.0 g/cm³.